Record 1
Material: PdCI2O
Method: DFT, GGA-PBE
State: optimized geometry

a b c (Å): 5.536 5.536 3.862
angles (deg): 90.00 90.00 90.00
Space group P4/mmm (No. 123)
Unique sites:
Pd  0.000  0.000  0.000 x1
C  0.500  0.500  0.500 x1
I  0.000  0.500  0.000 x2
O  0.000  0.000  0.500 x1

Values from the calculation:
- E: -3.08 eV per atom
- E_form (uncorrected): 1413.7 meV/atom

=====

Record 2
Material: K2CaCl
Method: DFT, GGA-PBE
State: optimized geometry

a b c (Å): 5.050 6.019 10.971
angles (deg): 90.00 90.00 90.00
Space group Cmmm (No. 65)
Unique sites:
K  0.000  0.000  0.174 x4
Ca  0.000  0.500  0.500 x2
Cl  0.000  0.500  0.000 x2

Values from the calculation:
- E: -2.32 eV per atom
- E_form (uncorrected): -808.3 meV/atom

=====

Record 3
Material: AcLaNdEr
Method: DFT, GGA-PBE
State: optimized geometry

a b c (Å): 3.7630 3.7630 12.0475
angles (deg): 90.00 90.00 120.00
Space group P3m1 (No. 156)
Unique sites:
Ac  0.0000  0.0000  0.0000 x1
La  0.6667  0.3333  0.5105 x1
Nd  0.3333  0.6667  0.2600 x1
Er  0.3333  0.6667  0.7503 x1

Values from the calculation:
- E: -4.53 eV per atom
- ΔH_f (0 K): 5.7 kJ per mole of atoms

=====

Record 4
Material: La6HgIr2
Method: DFT, GGA-PBE
State: optimized geometry

a b c (Å): 10.415 5.329 9.412
angles (deg): 90.00 99.94 90.00
Space group C2/m (No. 12)
Unique sites:
La  0.040  0.000  0.350 x4
La  0.159  0.500  0.890 x4
La  0.206  0.500  0.335 x4
Hg  0.000  0.000  0.000 x2
Ir  0.122  0.500  0.602 x4

Values from the calculation:
- E: -5.79 eV per atom
- ΔH_f (0 K): -48.2 kJ per mole of atoms

=====

Record 5
Material: KBaF2
Method: DFT, GGA-PBE
State: optimized geometry

a b c (Å): 7.073 7.073 7.073
angles (deg): 90.00 90.00 90.00
Space group Fm-3m (No. 225)
Unique sites:
K  0.000  0.000  0.000 x4
Ba  0.000  0.000  0.500 x4
F  0.250  0.250  0.250 x8

Values from the calculation:
- E: -3.92 eV per atom
- E_form (uncorrected): -2233.5 meV/atom

=====

Record 6
Material: NdSm2HgN
Method: DFT, GGA-PBE
State: optimized geometry

a b c (Å): 4.940 4.940 5.024
angles (deg): 90.00 90.00 90.00
Space group P4/mmm (No. 123)
Unique sites:
Nd  0.000  0.000  0.000 x1
Sm  0.000  0.500  0.500 x2
Hg  0.500  0.500  0.000 x1
N  0.000  0.000  0.500 x1

Values from the calculation:
- E: -5.36 eV per atom
- E_form (uncorrected): -795.1 meV/atom

=====

Record 7
Material: Sm3BiSb
Method: DFT, GGA-PBE
State: optimized geometry

a b c (Å): 23.480 4.408 6.442
angles (deg): 90.00 105.87 90.00
Space group C2/m (No. 12)
Unique sites:
Sm  0.000  0.000  0.237 x4
Sm  0.109  0.500  0.608 x4
Sm  0.192  0.000  0.191 x4
Bi  0.206  0.000  0.706 x4
Sb  0.088  0.500  0.087 x4

Values from the calculation:
- E: -5.24 eV per atom
- E_form (uncorrected): -805.7 meV/atom

=====

Record 8
Material: Hg12Pb3Se5
Method: DFT, GGA-PBE
State: optimized geometry

a b c (Å): 17.122 17.122 17.122
angles (deg): 90.00 90.00 90.00
Space group Ia-3d (No. 230)
Unique sites:
Hg  0.022  0.076  0.652 x96
Pb  0.000  0.250  0.125 x24
Se  0.000  0.000  0.000 x16
Se  0.000  0.250  0.375 x24

Values from the calculation:
- E: -1.56 eV per atom
- E_form (uncorrected): 45.4 meV/atom